First-principles (GGA+U) data for K5Na3Mo4O16 after structural relaxation, as listed in the Alexandria database.

Values from the calculation:
VASP energy	-169.452	eV for the cell shown

Cell lengths 6.101, 6.131, 15.316 Å; angles 90.26, 90.04, 119.56 degrees
Element x y z (fractional)
K  0.000  0.000  0.000
K  0.078  0.076  0.501
K  0.392  0.716  0.179
K  0.640  0.291  0.839
K  0.768  0.418  0.338
Na  0.331  0.731  0.682
Na  0.698  0.357  0.086
Na  0.717  0.366  0.592
Mo  0.061  0.049  0.224
Mo  0.335  0.666  0.944
Mo  0.416  0.728  0.459
Mo  0.992  0.984  0.724
O  0.004  0.526  0.966
O  0.029  0.096  0.835
O  0.159  0.595  0.536
O  0.292  0.629  0.351
O  0.294  0.146  0.671
O  0.398  0.194  0.212
O  0.407  0.736  0.831
O  0.454  0.470  0.987
O  0.490  0.957  0.005
O  0.572  0.065  0.470
O  0.625  0.611  0.487
O  0.771  0.044  0.665
O  0.895  0.655  0.718
O  0.916  0.753  0.166
O  0.953  0.242  0.173
O  0.962  0.991  0.335